<A>
RbBa2Te2: optimized geometry, PBE.

The total moment comes out at 0.00 Bohr magnetons per cell. The density of states at the Fermi level comes out at 10.06 states/eV/cell. The density comes out at 3.52 g cm⁻³.

Lattice parameters (Å, degrees): 5.9926 5.9926 16.1810 90.00 90.00 90.00
With the nearest neighbours (Å) after each atom.
Space group I4/mmm (No. 139)
Inequivalent atoms, fractional coordinates:
Rb: 0.0000 0.0000 0.0000 (multiplicity 2)  8 Te 4.84, 8 Ba 5.03
Ba: 0.0000 0.5000 0.2500 (multiplicity 4)  4 Te 3.44
Te: 0.0000 0.0000 0.3551 (multiplicity 4)  4 Ba 3.44

<B>
RbBa2Te2: optimized geometry, PBE.

The total moment comes out at 0.00 Bohr magnetons per cell. The density of states at the Fermi level comes out at 9.55 states/eV/cell. The density comes out at 4.88 g cm⁻³.

Lattice parameters (Å, degrees): 9.8407 9.8407 4.3272 90.00 90.00 90.00
With the nearest neighbours (Å) after each atom.
Space group P4/mbm (No. 127)
Inequivalent atoms, fractional coordinates:
Rb: 0.0000 0.0000 0.0000 (multiplicity 2)  4 Ba 3.81
Ba: 0.1376 0.3624 0.0000 (multiplicity 4)  6 Te 3.55-3.65, 2 Rb 3.81, 1 Ba 3.83
Te: 0.1606 0.6606 0.5000 (multiplicity 4)  6 Ba 3.55-3.65

Last place for stability: <A>

<A>
RbBaTe: optimized geometry, PBE.

The total moment comes out at 0.00 Bohr magnetons per cell. The density of states at the Fermi level comes out at 3.25 states/eV/cell. The density comes out at 3.47 g cm⁻³.

Lattice parameters (Å, degrees): 4.4647 4.4647 16.8266 90.00 90.00 90.00
With the nearest neighbours (Å) after each atom.
Space group I4mm (No. 107)
Inequivalent atoms, fractional coordinates:
Rb: 0.0000 0.0000 0.0000 (multiplicity 2)  1 Ba 4.00, 4 Te 4.04, 4 Rb 4.46
Ba: 0.0000 0.0000 0.2376 (multiplicity 2)  4 Te 3.48
Te: 0.0000 0.0000 0.6501 (multiplicity 2)  4 Ba 3.48

<B>
RbBaTe: optimized geometry, PBE.

The total moment comes out at 1.44 Bohr magnetons per cell. The density of states at the Fermi level comes out at 6.04 states/eV/cell. The density comes out at 3.07 g cm⁻³.

Lattice parameters (Å, degrees): 8.8070 5.0931 17.2243 90.00 100.97 90.00
With the nearest neighbours (Å) after each atom.
Space group C2/m (No. 12)
Inequivalent atoms, fractional coordinates:
Rb: 0.1342 0.0000 0.3578 (multiplicity 4)  3 Te 3.68
Ba: 0.2145 0.5000 0.1246 (multiplicity 4)  3 Te 3.41
Te: 0.0809 0.5000 0.7730 (multiplicity 4)  3 Ba 3.41, 3 Rb 3.68

Last place for stability: <A>

<A>
RbBa3Te: optimized geometry, PBE.

The total moment comes out at 0.00 Bohr magnetons per cell. The density of states at the Fermi level comes out at 8.09 states/eV/cell. The density comes out at 3.62 g cm⁻³.

Lattice parameters (Å, degrees): 6.5946 6.5946 6.5946 90.00 90.00 90.00
With the nearest neighbours (Å) after each atom.
Space group Pm-3m (No. 221)
Inequivalent atoms, fractional coordinates:
Rb: 0.0000 0.0000 0.0000 (multiplicity 1)  6 Ba 3.30
Ba: 0.0000 0.0000 0.5000 (multiplicity 3)  2 Rb 3.30
Te: 0.5000 0.5000 0.5000 (multiplicity 1)  12 Ba 4.66

<B>
RbBa3Te: optimized geometry, PBE.

The total moment comes out at 0.00 Bohr magnetons per cell. The density of states at the Fermi level comes out at 11.17 states/eV/cell. The density comes out at 3.16 g cm⁻³.

Lattice parameters (Å, degrees): 6.8969 6.8969 6.8969 90.00 90.00 90.00
With the nearest neighbours (Å) after each atom.
Space group Pm-3m (No. 221)
Inequivalent atoms, fractional coordinates:
Rb: 0.0000 0.0000 0.0000 (multiplicity 1)  12 Ba 4.88
Ba: 0.0000 0.5000 0.5000 (multiplicity 3)  2 Te 3.45
Te: 0.5000 0.5000 0.5000 (multiplicity 1)  6 Ba 3.45

Last place for stability: <A>

<A>
Rb3BaTe: optimized geometry, PBE.

The total moment comes out at 0.94 Bohr magnetons per cell. The density of states at the Fermi level comes out at 4.72 states/eV/cell. The density comes out at 2.40 g cm⁻³.

Lattice parameters (Å, degrees): 7.1224 7.1224 7.1224 90.00 90.00 90.00
With the nearest neighbours (Å) after each atom.
Space group Pm-3m (No. 221)
Inequivalent atoms, fractional coordinates:
Rb: 0.0000 0.0000 0.5000 (multiplicity 3)  2 Te 3.56
Ba: 0.5000 0.5000 0.5000 (multiplicity 1)  12 Rb 5.04
Te: 0.0000 0.0000 0.0000 (multiplicity 1)  6 Rb 3.56

<B>
Rb3BaTe: optimized geometry, PBE.

The total moment comes out at 1.00 Bohr magnetons per cell. The density of states at the Fermi level comes out at 4.58 states/eV/cell. The density comes out at 1.90 g cm⁻³.

Lattice parameters (Å, degrees): 7.6985 7.6985 7.6985 90.00 90.00 90.00
With the nearest neighbours (Å) after each atom.
Space group Pm-3m (No. 221)
Inequivalent atoms, fractional coordinates:
Rb: 0.0000 0.0000 0.5000 (multiplicity 3)  2 Ba 3.85
Ba: 0.0000 0.0000 0.0000 (multiplicity 1)  6 Rb 3.85
Te: 0.5000 0.5000 0.5000 (multiplicity 1)  12 Rb 5.44

Last place for stability: <B>